VASP calculation (GGA-PBE) on a geometry-optimized Na3NbCu2Se6 structure.

Properties
- calculated total energy (eV for the cell shown) = -50.02
- N(E_F) (states/eV/cell) = 7.69
- calculated volume (Å³/cell) = 263
- space group = C2/m, No. 12

Cell lengths 6.7507, 6.7507, 7.1599 Å; angles 97.92, 97.92, 122.74 degrees
Last column: nearest neighbours and their distance in Å.
Element x y z (fractional)
Na1 0.1740 0.8260 0.5000  6 Se 2.99-3.04
Na2 0.8260 0.1740 0.5000  6 Se 2.99-3.04
Na3 0.5000 0.5000 0.5000  6 Se 2.93-3.02
Nb1 0.0000 0.0000 0.0000  6 Se 2.55-2.65
Cu1 0.3379 0.6621 0.0000  6 Se 2.45-2.74
Cu2 0.6621 0.3379 0.0000  6 Se 2.45-2.74
Se1 0.9166 0.5887 0.8028  2 Cu 2.45-2.74, 1 Nb 2.65
Se2 0.7548 0.7548 0.2218  1 Nb 2.55, 2 Cu 2.72
Se3 0.0834 0.4113 0.1972  2 Cu 2.45-2.74, 1 Nb 2.65
Se4 0.5887 0.9166 0.8028  2 Cu 2.45-2.74, 1 Nb 2.65
Se5 0.2452 0.2452 0.7782  1 Nb 2.55, 2 Cu 2.72
Se6 0.4113 0.0834 0.1972  2 Cu 2.45-2.74, 1 Nb 2.65